Here is an optimized crystal structure of TbPmDyAl from Alexandria. Energies are from PBE-GGA.

Cell: 5.3973 5.3973 5.3973 Å, 60.00 60.00 60.00°
Closest atoms and distances in Å follow each position.
Atoms (fractional coordinates):
Pm1 0.5000 0.5000 0.5000  4 Tb 3.31, 4 Al 3.31
Tb1 0.7500 0.7500 0.7500  4 Pm 3.31, 4 Dy 3.31
Al1 0.2500 0.2500 0.2500  4 Dy 3.31, 4 Pm 3.31
Dy1 0.0000 0.0000 0.0000  4 Tb 3.31, 4 Al 3.31

Computed properties:
- DFT formation energy (meV per atom) = -42
- N(E_F) (states/eV per atom) = 1.837
- size of the total moment (μB/cell) = 0.42
- total DFT energy (no corrections) (eV/atom) = -4.474

=====

Here is an optimized crystal structure of PmDyTiAl from Alexandria. Energies are from PBE-GGA.

Cell: 5.1950 5.1950 5.1950 Å, 60.00 60.00 60.00°
Closest atoms and distances in Å follow each position.
Atoms (fractional coordinates):
Pm1 0.7500 0.7500 0.7500  4 Al 3.18, 4 Ti 3.18
Ti1 0.0000 0.0000 0.0000  4 Dy 3.18, 4 Pm 3.18
Al1 0.5000 0.5000 0.5000  4 Dy 3.18, 4 Pm 3.18
Dy1 0.2500 0.2500 0.2500  4 Al 3.18, 4 Ti 3.18

Computed properties:
- DFT formation energy (meV per atom) = -26
- N(E_F) (states/eV per atom) = 1.199
- size of the total moment (μB/cell) = 2.42
- total DFT energy (no corrections) (eV/atom) = -5.273

=====

Here is an optimized crystal structure of PmDy2Al2Zn2 from Alexandria. Energies are from PBE-GGA.

Cell: 4.5301 4.5301 9.5454 Å, 76.27 76.27 60.00°
Closest atoms and distances in Å follow each position.
Atoms (fractional coordinates):
Pm1 0.0000 0.0000 0.0000  6 Zn 3.25, 6 Al 3.29, 2 Dy 3.54
Dy1 0.1286 0.1286 0.6142  3 Al 3.04, 3 Zn 3.07, 3 Dy 3.35
Dy2 0.8714 0.8714 0.3858  3 Al 3.04, 3 Zn 3.07, 3 Dy 3.35
Al1 0.7393 0.7393 0.7821  3 Zn 2.62
Al2 0.2607 0.2607 0.2179  3 Zn 2.62
Zn1 0.5967 0.5967 0.2099  3 Al 2.62
Zn2 0.4033 0.4033 0.7901  3 Al 2.62

Computed properties:
- DFT formation energy (meV per atom) = -312
- N(E_F) (states/eV per atom) = 0.520
- size of the total moment (μB/cell) = 0.00
- total DFT energy (no corrections) (eV/atom) = -3.739

=====

Here is an optimized crystal structure of Pm2DyAl2Zn2 from Alexandria. Energies are from PBE-GGA.

Cell: 4.5252 4.5252 9.6558 Å, 76.45 76.45 60.00°
Closest atoms and distances in Å follow each position.
Atoms (fractional coordinates):
Pm1 0.1264 0.1264 0.6208  3 Al 3.12, 3 Zn 3.20, 3 Pm 3.44
Pm2 0.8736 0.8736 0.3792  3 Al 3.12, 3 Zn 3.20, 3 Pm 3.44
Dy1 0.0000 0.0000 0.0000  6 Zn 3.10, 6 Al 3.18
Al1 0.7317 0.7317 0.8049  3 Zn 2.62
Al2 0.2683 0.2683 0.1951  3 Zn 2.62
Zn1 0.6065 0.6065 0.1805  3 Al 2.62
Zn2 0.3935 0.3935 0.8195  3 Al 2.62

Computed properties:
- DFT formation energy (meV per atom) = -318
- N(E_F) (states/eV per atom) = 0.564
- size of the total moment (μB/cell) = 0.00
- total DFT energy (no corrections) (eV/atom) = -3.766

=====

Here is an optimized crystal structure of Pr2DyAl6 from Alexandria. Energies are from PBE-GGA.

Cell: 4.4715 8.1049 8.1049 Å, 53.29 73.99 73.99°
Closest atoms and distances in Å follow each position.
Atoms (fractional coordinates):
Pr1 0.3749 0.1251 0.1251  10 Al 3.00-3.27
Pr2 0.6251 0.8749 0.8749  10 Al 3.00-3.27
Dy1 0.5000 0.5000 0.5000  4 Al 3.15
Al1 0.1813 0.5076 0.1297  2 Al 2.64-2.75
Al2 0.8187 0.4924 0.8703  2 Al 2.64-2.75
Al3 0.8187 0.8703 0.4924  2 Al 2.64-2.75
Al4 0.0000 0.1949 0.8051  3 Al 2.64-2.83
Al5 0.0000 0.8051 0.1949  3 Al 2.64-2.83
Al6 0.1813 0.1297 0.5076  2 Al 2.64-2.75

Computed properties:
- DFT formation energy (meV per atom) = -182
- N(E_F) (states/eV per atom) = 0.585
- size of the total moment (μB/cell) = 0.00
- total DFT energy (no corrections) (eV/atom) = -4.251

=====

Here is an optimized crystal structure of PrDy12Al6 from Alexandria. Energies are from PBE-GGA.

Cell: 8.5963 8.5963 8.5963 Å, 102.95 102.95 102.95°
Closest atoms and distances in Å follow each position.
Atoms (fractional coordinates):
Pr1 0.0000 0.0000 0.0000  6 Al 4.27, 18 Dy 4.49-4.59
Dy1 0.8797 0.1203 0.5000  4 Al 2.93-3.04, 1 Dy 3.24
Dy2 0.8217 0.5515 0.5515  3 Al 3.06-3.12
Dy3 0.5515 0.5515 0.8217  3 Al 3.06-3.12
Dy4 0.4485 0.1783 0.4485  3 Al 3.06-3.12
Dy5 0.4485 0.4485 0.1783  3 Al 3.06-3.12
Dy6 0.1783 0.4485 0.4485  3 Al 3.06-3.12
Dy7 0.1203 0.5000 0.8797  4 Al 2.93-3.04, 1 Dy 3.24
Dy8 0.5000 0.8797 0.1203  4 Al 2.93-3.04, 1 Dy 3.24
Dy9 0.1203 0.8797 0.5000  4 Al 2.93-3.04, 1 Dy 3.24
Dy10 0.8797 0.5000 0.1203  4 Al 2.93-3.04, 1 Dy 3.24
Dy11 0.5000 0.1203 0.8797  4 Al 2.93-3.04, 1 Dy 3.24
Dy12 0.5515 0.8217 0.5515  3 Al 3.06-3.12
Al1 0.7024 0.2452 0.2452  7 Dy 2.93-3.12
Al2 0.2452 0.2452 0.7024  7 Dy 2.93-3.12
Al3 0.2452 0.7024 0.2452  7 Dy 2.93-3.12
Al4 0.7548 0.7548 0.2976  7 Dy 2.93-3.12
Al5 0.2976 0.7548 0.7548  7 Dy 2.93-3.12
Al6 0.7548 0.2976 0.7548  7 Dy 2.93-3.12

Computed properties:
- DFT formation energy (meV per atom) = 0
- N(E_F) (states/eV per atom) = 1.487
- size of the total moment (μB/cell) = 0.00
- total DFT energy (no corrections) (eV/atom) = -4.340